No. 1
DFT (PBE) results for crystalline Li8PPd2 at its relaxed geometry.

```
data_Li8PPd2
_chemical_formula_sum 'Li16 P2 Pd4'
_space_group_name_H-M_alt 'C 1 2/m 1'
_space_group_IT_number 12
_cell_length_a 13.5374
_cell_length_b 4.1084
_cell_length_c 6.0468
_cell_angle_alpha 90.00
_cell_angle_beta 108.93
_cell_angle_gamma 90.00
loop_
_space_group_symop_operation_xyz
'x,y,z'
'-x,-y,-z'
'-x,y,-z'
'x,-y,z'
'x+1/2,y+1/2,z'
'-x+1/2,-y+1/2,-z'
'-x+1/2,y+1/2,-z'
'x+1/2,-y+1/2,z'
loop_
_atom_site_label
_atom_site_type_symbol
_atom_site_fract_x
_atom_site_fract_y
_atom_site_fract_z
Li1 Li 0.0315 0.0000 0.2553
Li2 Li 0.1062 0.5000 0.9297
Li3 Li 0.1514 0.0000 0.6876
Li4 Li 0.1673 0.5000 0.4021
P1 P 0.0000 0.5000 0.5000
Pd1 Pd 0.2112 0.0000 0.1444
```

Uncorrected energy: -3.23 eV per atom
Energy relative to the elements: -0.400 eV per atom
Crystal system: monoclinic
Density: 3.13 g cm⁻³
Volume: 318 Å³ per cell

---

No. 2
DFT (PBE) results for crystalline RbPb3Se at its relaxed geometry.

```
data_RbPb3Se
_chemical_formula_sum 'Rb1 Pb3 Se1'
_space_group_name_H-M_alt 'P m -3 m'
_space_group_IT_number 221
_space_group_name_Hall '-P 4 2 3'
_cell_length_a 5.8731
_cell_length_b 5.8731
_cell_length_c 5.8731
_cell_angle_alpha 90.00
_cell_angle_beta 90.00
_cell_angle_gamma 90.00
loop_
_atom_site_label
_atom_site_type_symbol
_atom_site_fract_x
_atom_site_fract_y
_atom_site_fract_z
Rb1 Rb 0.0000 0.0000 0.0000
Pb1 Pb 0.0000 0.5000 0.5000
Se1 Se 0.5000 0.5000 0.5000
```

Uncorrected energy: -3.09 eV per atom
Uncorrected formation energy: 2.6 kJ per mole of atoms
Energy above the most stable polymorph in this dataset: 0.000 eV/atom
Crystal system: cubic
Density: 6.44 g cm⁻³
Volume: 203 Å³ per cell

---

No. 3
DFT (PBE) results for crystalline HfCrPCl2 at its relaxed geometry.

```
data_HfCrPCl2
_chemical_formula_sum 'Hf1 Cr1 P1 Cl2'
_space_group_name_H-M_alt 'P 4/m m m'
_space_group_IT_number 123
_space_group_name_Hall '-P 4 2'
_cell_length_a 4.4808
_cell_length_b 4.4808
_cell_length_c 5.1430
_cell_angle_alpha 90.00
_cell_angle_beta 90.00
_cell_angle_gamma 90.00
loop_
_atom_site_label
_atom_site_type_symbol
_atom_site_fract_x
_atom_site_fract_y
_atom_site_fract_z
Hf1 Hf 0.0000 0.0000 0.0000
Cr1 Cr 0.5000 0.5000 0.5000
P1 P 0.5000 0.5000 0.0000
Cl1 Cl 0.0000 0.5000 0.5000
```

Uncorrected energy: -5.64 eV per atom
Uncorrected formation energy: 8.8 kJ per mole of atoms
Energy above the most stable polymorph in this dataset: 0.358 eV/atom
Crystal system: tetragonal
Density: 5.34 g cm⁻³
Volume: 103 Å³ per cell

---

No. 4
DFT (PBE) results for crystalline InReBr2 at its relaxed geometry.

```
data_InReBr2
_chemical_formula_sum 'In2 Re2 Br4'
_space_group_name_H-M_alt 'C m m m'
_space_group_IT_number 65
_space_group_name_Hall '-C 2 2'
_cell_length_a 3.1370
_cell_length_b 5.9685
_cell_length_c 10.0837
_cell_angle_alpha 90.00
_cell_angle_beta 90.00
_cell_angle_gamma 90.00
loop_
_atom_site_label
_atom_site_type_symbol
_atom_site_fract_x
_atom_site_fract_y
_atom_site_fract_z
In1 In 0.0000 0.0000 0.0000
Re1 Re 0.0000 0.0000 0.5000
Br1 Br 0.0000 0.5000 0.3005
```

Uncorrected energy: -4.08 eV per atom
Uncorrected formation energy: 53.2 kJ per mole of atoms
Energy above the most stable polymorph in this dataset: 0.382 eV/atom
Crystal system: orthorhombic
Density: 8.11 g cm⁻³
Volume: 189 Å³ per cell

---

No. 5
DFT (PBE) results for crystalline InFeAg2 at its relaxed geometry.

```
data_InFeAg2
_chemical_formula_sum 'In2 Fe2 Ag4'
_space_group_name_H-M_alt 'I -4 m 2'
_space_group_IT_number 119
_space_group_name_Hall 'I -4 -2'
_cell_length_a 4.3310
_cell_length_b 4.3310
_cell_length_c 7.4782
_cell_angle_alpha 90.00
_cell_angle_beta 90.00
_cell_angle_gamma 90.00
loop_
_atom_site_label
_atom_site_type_symbol
_atom_site_fract_x
_atom_site_fract_y
_atom_site_fract_z
In1 In 0.0000 0.0000 0.0000
Fe1 Fe 0.0000 0.5000 0.2500
Ag1 Ag 0.0000 0.0000 0.5000
Ag2 Ag 0.0000 0.5000 0.7500
```

Uncorrected energy: -3.96 eV per atom
Energy relative to the elements: 0.263 eV per atom
Crystal system: tetragonal
Density: 9.15 g cm⁻³
Volume: 140 Å³ per cell

---

No. 6
DFT (PBE) results for crystalline Pr2Nd6HoEr at its relaxed geometry.

```
data_Pr2Nd6HoEr
_chemical_formula_sum 'Pr8 Nd24 Ho4 Er4'
_space_group_name_H-M_alt 'C 1 2/c 1'
_space_group_IT_number 15
_cell_length_a 9.2446
_cell_length_b 15.4306
_cell_length_c 9.8814
_cell_angle_alpha 90.00
_cell_angle_beta 98.65
_cell_angle_gamma 90.00
loop_
_space_group_symop_operation_xyz
'x,y,z'
'-x,-y,-z'
'-x,y,-z+1/2'
'x,-y,z+1/2'
'x+1/2,y+1/2,z'
'-x+1/2,-y+1/2,-z'
'-x+1/2,y+1/2,-z+1/2'
'x+1/2,-y+1/2,z+1/2'
loop_
_atom_site_label
_atom_site_type_symbol
_atom_site_fract_x
_atom_site_fract_y
_atom_site_fract_z
Pr1 Pr 0.2453 0.0505 0.0423
Nd1 Nd 0.0621 0.1850 0.4448
Nd2 Nd 0.1036 0.3956 0.6188
Nd3 Nd 0.2048 0.2204 0.8095
Ho1 Ho 0.0000 0.0195 0.7500
Er1 Er 0.0000 0.4080 0.2500
```

Uncorrected energy: -4.62 eV per atom
Energy relative to the elements: 0.114 eV per atom
Crystal system: monoclinic
Density: 7.05 g cm⁻³
Volume: 1394 Å³ per cell

---

no.,Fermi-level density of states (states/eV per cell)
1,7.0
2,3.4
3,3.4
4,5.1
5,8.3
6,58.6